# 1
{
  "formula": "BePRu2",
  "functional": "PBE-GGA",
  "state": "relaxed",
  "cell": [[-1.7144, 1.7748, 4.8213], [1.7144, -1.7748, 4.8213], [1.7144, 1.7748, -4.8213]],
  "species": ["Be", "P", "Ru", "Ru"],
  "fractional_positions": [[0.0000, 0.0000, 0.0000], [0.5000, 0.5000, 0.0000], [0.2639, 0.2639, 0.0000], [0.7361, 0.7361, 0.0000]],
  "dos_at_fermi_per_ev_atom": 0.715,
  "total_magnetization_mub_per_cell": 0.0,
  "final_energy_ev_per_atom": -6.29,
  "sg": "Immm, No. 71",
  "mass_density_g_cm3": 6.852,
  "ef_mev_per_atom": 634
}

=====

# 2
{
  "formula": "TbHoInAg",
  "functional": "PBE-GGA",
  "state": "relaxed",
  "cell": [[0.0000, 3.7138, 3.7138], [3.7138, 0.0000, 3.7138], [3.7138, 3.7138, 0.0000]],
  "species": ["Tb", "Ho", "In", "Ag"],
  "fractional_positions": [[0.0000, 0.0000, 0.0000], [0.5000, 0.5000, 0.5000], [0.7500, 0.7500, 0.7500], [0.2500, 0.2500, 0.2500]],
  "dos_at_fermi_per_ev_atom": 0.833,
  "total_magnetization_mub_per_cell": 0.0,
  "final_energy_ev_per_atom": -4.10,
  "sg": "F-43m, No. 216",
  "mass_density_g_cm3": 8.859,
  "ef_mev_per_atom": -396
}

=====

# 3
{
  "formula": "Sc10Os4Rh",
  "functional": "PBE-GGA",
  "state": "relaxed",
  "cell": [[-2.2485, 2.2485, 15.9007], [2.2485, -2.2485, 15.9007], [2.2485, 2.2485, -15.9007]],
  "species": ["Sc", "Sc", "Sc", "Sc", "Sc", "Sc", "Sc", "Sc", "Sc", "Sc", "Os", "Os", "Os", "Os", "Rh"],
  "fractional_positions": [[0.0510, 0.5510, 0.5000], [0.1504, 0.6504, 0.5000], [0.2500, 0.7500, 0.5000], [0.3496, 0.8496, 0.5000], [0.4490, 0.9490, 0.5000], [0.5510, 0.0510, 0.5000], [0.6504, 0.1504, 0.5000], [0.7500, 0.2500, 0.5000], [0.8496, 0.3496, 0.5000], [0.9490, 0.4490, 0.5000], [0.0991, 0.0991, 0.0000], [0.3001, 0.3001, 0.0000], [0.6999, 0.6999, 0.0000], [0.9009, 0.9009, 0.0000], [0.5000, 0.5000, 0.0000]],
  "dos_at_fermi_per_ev_atom": 0.376,
  "total_magnetization_mub_per_cell": 0.0,
  "final_energy_ev_per_atom": -8.04,
  "sg": "I4/mmm, No. 139",
  "mass_density_g_cm3": 6.782,
  "ef_mev_per_atom": -335
}

=====

# 4
{
  "formula": "LaSnP3",
  "functional": "PBE-GGA",
  "state": "relaxed",
  "cell": [[5.3772, 0.0000, 0.0000], [0.0000, 5.3772, 0.0000], [0.0000, 0.0000, 5.3772]],
  "species": ["La", "Sn", "P", "P", "P"],
  "fractional_positions": [[0.0000, 0.0000, 0.0000], [0.5000, 0.5000, 0.5000], [0.0000, 0.0000, 0.5000], [0.0000, 0.5000, 0.0000], [0.5000, 0.0000, 0.0000]],
  "dos_at_fermi_per_ev_atom": 2.298,
  "total_magnetization_mub_per_cell": 0.0,
  "final_energy_ev_per_atom": -4.33,
  "sg": "Pm-3m, No. 221",
  "mass_density_g_cm3": 3.744,
  "ef_mev_per_atom": 705
}

=====

# 5
{
  "formula": "CrMo3S",
  "functional": "PBE-GGA",
  "state": "relaxed",
  "cell": [[4.4979, 0.0000, 0.0000], [0.0000, 4.4979, 0.0000], [0.0000, 0.0000, 4.4979]],
  "species": ["Cr", "Mo", "Mo", "Mo", "S"],
  "fractional_positions": [[0.0000, 0.0000, 0.0000], [0.0000, 0.0000, 0.5000], [0.0000, 0.5000, 0.0000], [0.5000, 0.0000, 0.0000], [0.5000, 0.5000, 0.5000]],
  "dos_at_fermi_per_ev_atom": 1.408,
  "total_magnetization_mub_per_cell": 0.0,
  "final_energy_ev_per_atom": -7.78,
  "formation_energy_uncorrected_ev_per_atom": 1.470,
  "sg": "Pm-3m, No. 221",
  "mass_density_g_cm3": 6.786
}

=====

# 6
{
  "formula": "BaAc2Pr",
  "functional": "PBE-GGA",
  "state": "relaxed",
  "cell": [[5.6512, 0.0000, 0.0000], [0.0000, 5.6512, 0.0000], [0.0000, 0.0000, 5.6277]],
  "species": ["Ba", "Ac", "Ac", "Pr"],
  "fractional_positions": [[0.0000, 0.0000, 0.0000], [0.0000, 0.5000, 0.5000], [0.5000, 0.0000, 0.5000], [0.5000, 0.5000, 0.0000]],
  "dos_at_fermi_per_ev_atom": 1.863,
  "total_magnetization_mub_per_cell": 0.0,
  "final_energy_ev_per_atom": -3.61,
  "sg": "P4/mmm, No. 123",
  "mass_density_g_cm3": 6.765,
  "ef_mev_per_atom": 124
}